--- one ---
First-principles (GGA-PBE) data for a relaxed InFeCl2 crystal, as listed in Alexandria.

Values from the calculation:
Total magnetization: 3.5 μB/f.u.
DOS(E_F): 0.812 states/eV/atom
Symmetry: No. 6

Unit cell a=3.3670 b=3.3552 c=9.3195 alpha=80.55 beta=90.00 gamma=90.00
Element x y z (fractional)
Fe (0.0000, 0.5778, 0.2487)
Cl (0.0000, 0.1563, 0.0742)
Cl (0.5000, 0.4932, 0.4228)
In (0.5000, 0.2727, 0.7543)

---

--- two ---
First-principles (GGA-PBE) data for a relaxed InFeCl2 crystal, as listed in Alexandria.

Values from the calculation:
Total magnetization: 3.5 μB/f.u.
DOS(E_F): 0.325 states/eV/atom
Symmetry: No. 123

Unit cell a=3.1392 b=3.1392 c=8.8390 alpha=90.00 beta=90.00 gamma=90.00
Element x y z (fractional)
In (0.5000, 0.5000, 0.7500)
Fe (0.5000, 0.5000, 0.2500)
Cl (0.0000, 0.0000, 0.4219)
Cl (0.0000, 0.0000, 0.0781)

---

Compare the structures above. Which one is the least stable? two is.